A relaxed SrBeZn2 crystal, computed with PBE.

Cell lengths 4.1783, 4.1783, 6.0568 Å; angles 69.65, 69.65, 60.02 degrees
With the nearest neighbours (Å) after each atom.
Sites, in units of the cell vectors:
Be1 0.7500 0.7500 0.7500  6 Zn 2.45
Sr1 0.2500 0.2500 0.2500  8 Zn 3.20-3.37
Zn1 0.0578 0.0578 0.8263  3 Be 2.45, 3 Zn 2.55-2.56
Zn2 0.4422 0.4422 0.6737  3 Be 2.45, 3 Zn 2.55-2.56

Results
energy relative to the elements	-0.06	eV per atom
Fermi-level density of states	2.1	states/eV/f.u.
space group	No. 12